Crystalline La3PrTm6 at its relaxed geometry, computed with GGA-PBE.

Cell lengths 11.502, 12.760, 9.380 Å; angles 90.00, 90.00, 90.00 degrees
Space group Cmc2_1 (No. 36)
Asymmetric unit:
La 0.000 0.021 0.000
La 0.192 0.389 0.901
Pr 0.000 0.259 0.313
Tm 0.000 0.236 0.722
Tm 0.000 0.484 0.636
Tm 0.221 0.089 0.720
Tm 0.240 0.340 0.557

Properties
DFT total energy = -176.67 eV/cell
Fermi-level density of states = 60.64 states/eV/cell
Energy of formation from the pure elements = 222.3 meV per atom